This record from Alexandria describes a relaxed structure of BaMnGaF7. The functional is PBE with a Hubbard U.

total magnetization: 5.000 μB per formula unit
E: -224.37 eV per cell

```
40
Lattice="-4.396 -3.730 -4.816 -3.519 -6.625 -0.386 -12.215 5.839 6.235" Properties=species:S:1:pos:R:3 pbc="T T T"
Ba -13.980 -4.906 -0.131
Ba -7.955 -7.551 -3.669
Ba -12.175 3.035 4.702
Ba -6.151 0.390 1.165
Mn -13.081 -0.924 2.268
Mn -10.065 -2.258 0.517
Mn -7.049 -3.592 -1.234
Mn -3.958 -5.177 -2.601
Ga -2.478 -0.513 0.177
Ga -8.591 2.426 3.265
Ga -11.539 -6.942 -2.232
Ga -17.653 -4.003 0.856
F -11.485 -3.914 1.021
F -15.133 -0.430 2.170
F -11.899 0.247 4.380
F -8.508 -2.117 -2.208
F -6.295 -1.012 -1.278
F -4.998 -4.086 -1.137
F -8.645 -0.602 0.012
F -17.004 -2.658 2.035
F -8.878 -3.835 -0.204
F -7.186 -5.854 -0.966
F -13.836 -3.504 2.312
F -9.125 0.700 2.670
F -6.193 -3.082 -3.298
F -14.400 1.153 4.910
F -11.252 -0.681 1.238
F -3.127 -1.858 -1.001
F -15.577 2.352 2.481
F -8.891 -2.475 2.283
F -4.554 -6.868 -1.448
F -12.945 1.338 1.999
F -13.938 -1.434 4.331
F -11.623 -2.399 3.242
F -8.231 -4.763 -3.346
F -6.449 -2.863 0.843
F -11.239 -2.041 -1.249
F -13.682 -1.653 0.190
F -5.730 -5.669 -3.877
F -11.006 -5.216 -1.636
```